First-principles (PBE with a Hubbard U) data for crystalline Li4Ti2Fe3Sb3O16 at its relaxed geometry, as listed in Alexandria.

Cell: 6.246 6.246 9.791 Å, 91.24 91.24 58.85°
Fractional positions:
Li 0.000 0.000 0.000
Li 0.015 0.015 0.521
Li 0.335 0.335 0.417
Li 0.689 0.689 0.912
Ti 0.379 0.379 0.985
Ti 0.698 0.698 0.518
Fe 0.195 0.683 0.726
Fe 0.683 0.195 0.726
Fe 0.839 0.839 0.228
Sb 0.195 0.195 0.732
Sb 0.345 0.838 0.233
Sb 0.838 0.345 0.233
O 0.011 0.011 0.335
O 0.028 0.028 0.815
O 0.064 0.490 0.866
O 0.159 0.159 0.121
O 0.185 0.680 0.110
O 0.350 0.350 0.622
O 0.365 0.870 0.610
O 0.490 0.064 0.866
O 0.506 0.506 0.873
O 0.519 0.963 0.358
O 0.522 0.522 0.354
O 0.666 0.666 0.119
O 0.680 0.185 0.110
O 0.847 0.847 0.596
O 0.870 0.365 0.610
O 0.963 0.519 0.358

Summary:
VASP energy: -6.6072 eV/atom
Calculated volume: 327 Å³/cell
Crystal system: monoclinic
Density of states at the Fermi level: 2.7 states/eV/f.u.
ρ: 4635 kg/m3